Crystalline SrI2 at its relaxed geometry. Source: Alexandria, functional PBE.

Unit cell a=7.9935 b=8.3140 c=15.7150 alpha=90.00 beta=90.00 gamma=90.00
Closest atoms and distances in Å follow each position.
Element x y z (fractional)
I 0.1502 0.8878 0.2055  3 Sr 3.31-3.39
I 0.6502 0.1122 0.2945  3 Sr 3.31-3.39
I 0.3498 0.3878 0.7945  3 Sr 3.31-3.39
I 0.8498 0.6122 0.7055  3 Sr 3.31-3.39
I 0.8498 0.1122 0.7945  3 Sr 3.31-3.39
I 0.3498 0.8878 0.7055  3 Sr 3.31-3.39
I 0.6502 0.6122 0.2055  3 Sr 3.31-3.39
I 0.1502 0.3878 0.2945  3 Sr 3.31-3.39
I 0.0035 0.7348 0.9700  4 Sr 3.41-3.48
I 0.5035 0.2652 0.5300  4 Sr 3.41-3.48
I 0.4965 0.2348 0.0300  4 Sr 3.41-3.48
I 0.9965 0.7652 0.4700  4 Sr 3.41-3.48
I 0.9965 0.2652 0.0300  4 Sr 3.41-3.48
I 0.4965 0.7348 0.4700  4 Sr 3.41-3.48
I 0.5035 0.7652 0.9700  4 Sr 3.41-3.48
I 0.0035 0.2348 0.5300  4 Sr 3.41-3.48
Sr 0.2733 0.5489 0.1122  7 I 3.31-3.48
Sr 0.7733 0.4511 0.3878  7 I 3.31-3.48
Sr 0.2267 0.0489 0.8878  7 I 3.31-3.48
Sr 0.7267 0.9511 0.6122  7 I 3.31-3.48
Sr 0.7267 0.4511 0.8878  7 I 3.31-3.48
Sr 0.2267 0.5489 0.6122  7 I 3.31-3.48
Sr 0.7733 0.9511 0.1122  7 I 3.31-3.48
Sr 0.2733 0.0489 0.3878  7 I 3.31-3.48

Raw formation energy in kJ/mol of formula units: -486
Electronic total energy in eV per atom: -3.273